Entry 1:
Below is crystalline YH2O at its relaxed geometry, with properties calculated at the PBE level.

a b c (Å): 3.754 4.251 5.945
angles (deg): 108.41 90.74 90.03
Space group P-1 (No. 2)
One atom of each set of equivalent atoms:
Y (0.250, 0.162, 0.307)
H (0.250, 0.993, 0.908)
H (0.437, 0.431, 0.964)
O (0.244, 0.722, 0.442)

Fermi-level density of states: 0.000 states/eV/atom
Magnetization: 0.0000 μB/atom
Energy above the most stable polymorph in this dataset: 0.04 eV/f.u.


Entry 2:
Below is crystalline SrBeRe at its relaxed geometry, with properties calculated at the PBE level.

a b c (Å): 4.7329 4.7329 2.8889
angles (deg): 90.00 90.00 120.00
Space group P3m1 (No. 156)
One atom of each set of equivalent atoms:
Sr (0.0000, 0.0000, 0.0000)
Be (0.3333, 0.6667, 0.5021)
Re (0.6667, 0.3333, 0.4990)

Fermi-level density of states: 0.605 states/eV/atom
Magnetization: 0.0000 μB/atom
Energy above the most stable polymorph in this dataset: 1.58 eV/f.u.


Entry 3:
Below is crystalline Pm12Sm7Sc at its relaxed geometry, with properties calculated at the PBE level.

a b c (Å): 15.2200 15.2200 10.0770
angles (deg): 90.00 90.00 120.00
Space group R-3 (No. 148, hexagonal axes)
One atom of each set of equivalent atoms:
Pm (0.0179, 0.7723, 0.0508)
Pm (0.0496, 0.8678, 0.7369)
Sm (0.0000, 0.0000, 0.0000)
Sm (0.0679, 0.8108, 0.4317)
Sc (0.0000, 0.0000, 0.5000)

Fermi-level density of states: 1.397 states/eV/atom
Magnetization: 0.0000 μB/atom
Energy above the most stable polymorph in this dataset: 1.73 eV/f.u.


Entry 4:
Below is crystalline KLa2Si at its relaxed geometry, with properties calculated at the PBE level.

a b c (Å): 10.338 4.182 8.258
angles (deg): 90.00 108.15 90.00
Space group Cm (No. 8)
One atom of each set of equivalent atoms:
K (0.000, 0.000, 0.000)
La (0.173, 0.000, 0.609)
La (0.356, 0.000, 0.365)
Si (0.144, 0.500, 0.352)

Fermi-level density of states: 1.226 states/eV/atom
Magnetization: 0.0001 μB/atom
Uncorrected formation energy: 48 meV per atom